Pm4RhS2Br: optimized geometry, PBE-GGA.

Summary:
Uncorrected energy (eV/atom): -5.985
N(E_F) (states/eV/atom): 0.645
Formation energy (no corrections) (eV per atom): -1.45

Cell and atoms, written as CIF:
```
data_Pm4RhS2Br
_cell_length_a 7.234
_cell_length_b 3.992
_cell_length_c 7.251
_cell_angle_alpha 90.00
_cell_angle_beta 108.26
_cell_angle_gamma 90.00
_space_group_name_H-M_alt 'P 1 2/m 1'
_space_group_IT_number 10
loop_
_space_group_symop_operation_xyz
'x,y,z'
'-x,-y,-z'
'-x,y,-z'
'x,-y,z'
loop_
_atom_site_label
_atom_site_type_symbol
_atom_site_fract_x
_atom_site_fract_y
_atom_site_fract_z
Pm1 Pm 0.225 0.000 0.226
Pm2 Pm 0.251 0.500 0.768
Rh1 Rh 0.500 0.000 0.000
S1 S 0.000 0.000 0.500
S2 S 0.000 0.500 0.000
Br1 Br 0.500 0.500 0.500
```